A plane-wave DFT calculation with PBE was carried out for a relaxed structure of NbNiSbW.

The space group is F-43m (No. 216) and the conventional cell measures 6.4294, 6.4294 and 6.4294 Å, with angles of 90.00, 90.00 and 90.00 degrees. The inequivalent atoms are Nb at (0.0000, 0.0000, 0.0000), Ni at (0.0000, 0.0000, 0.5000), Sb at (0.2500, 0.2500, 0.2500) and W at (0.2500, 0.2500, 0.7500).

The mass density comes out at 11.4 g/cm3. The value obtained for the total energy is -124.97 eV per cell. The magnetization is 0.06 μB per formula unit. Its crystal system is cubic.

---

A plane-wave DFT calculation with PBE was carried out for a relaxed structure of CoPdAu2.

The space group is F-43m (No. 216) and the conventional cell measures 6.3455, 6.3455 and 6.3455 Å, with angles of 90.00, 90.00 and 90.00 degrees. The inequivalent atoms are Co at (0.0000, 0.0000, 0.0000), Pd at (0.2500, 0.2500, 0.7500), Au at (0.0000, 0.0000, 0.5000) and Au at (0.2500, 0.2500, 0.2500).

The mass density comes out at 14.5 g/cm3. As for the energy relative to the elements: 0.18 eV per atom. The magnetization is 2.07 μB per formula unit. Its crystal system is cubic.

---

A plane-wave DFT calculation with PBE was carried out for a relaxed structure of Zn2Tc.

The space group is Fd-3m (No. 227, origin choice 2) and the conventional cell measures 11.3090, 11.3090 and 11.3090 Å, with angles of 90.00, 90.00 and 90.00 degrees. The inequivalent atoms are Zn at (0.0000, 0.0000, 0.0000) and Tc at (0.1250, 0.1250, 0.1250).

The mass density comes out at 2.1 g/cm3. As for the energy relative to the elements: 1.81 eV per atom. The magnetization is 0.99 μB per formula unit. Its crystal system is cubic. For the polymorph energy (0 for the lowest one), the calculation gives 1789 meV per atom.

---

A plane-wave DFT calculation with PBE was carried out for a relaxed structure of BaRePd.

The space group is F-43m (No. 216) and the conventional cell measures 6.9660, 6.9660 and 6.9660 Å, with angles of 90.00, 90.00 and 90.00 degrees. The inequivalent atoms are Ba at (0.0000, 0.0000, 0.0000), Re at (0.2500, 0.2500, 0.2500) and Pd at (0.2500, 0.2500, 0.7500).

The mass density comes out at 8.4 g/cm3. The magnetization is 3.00 μB per formula unit. Its crystal system is cubic. For the polymorph energy (0 for the lowest one), the calculation gives 641 meV per atom.

---

A plane-wave DFT calculation with PBE was carried out for a relaxed structure of Ho2ErNiSn3Pd2.

The space group is Amm2 (No. 38) and the conventional cell measures 3.8375, 13.0550 and 7.5447 Å, with angles of 90.00, 90.00 and 90.00 degrees. The inequivalent atoms are Ho at (0.0000, 0.2005, 0.0000), Er at (0.0000, 0.0000, 0.3989), Ni at (0.0000, 0.0000, 0.7992), Sn at (0.5000, 0.0000, 0.0512), Sn at (0.5000, 0.1258, 0.6735) and Pd at (0.5000, 0.1662, 0.2998).

The mass density comes out at 9.9 g/cm3. The value obtained for the total energy is -98.98 eV per cell. The magnetization is 0.00 μB per formula unit. Its crystal system is orthorhombic.

---

A plane-wave DFT calculation with PBE was carried out for a relaxed structure of ZrAl2Zn.

The space group is F-43m (No. 216) and the conventional cell measures 6.5469, 6.5469 and 6.5469 Å, with angles of 90.00, 90.00 and 90.00 degrees. The inequivalent atoms are Zr at (0.0000, 0.0000, 0.0000), Al at (0.0000, 0.0000, 0.5000), Al at (0.2500, 0.2500, 0.7500) and Zn at (0.2500, 0.2500, 0.2500).

The mass density comes out at 5.0 g/cm3. The value obtained for the total energy is -69.41 eV per cell. The magnetization is 0.00 μB per formula unit. Its crystal system is cubic.